! Be5NbCo6 PBE relaxed; values from VASP
! Uncorrected energy in eV per cell: -74.50
! Theoretical density in g/cm3: 6.94
! Space group: No. 10
&SYSTEM
  ibrav = 0, nat = 12, ntyp = 3
/
ATOMIC_SPECIES
Be 9.01 Be.upf
Nb 92.91 Nb.upf
Co 58.93 Co.upf
ATOMIC_POSITIONS crystal
Be 0.664 0.500 0.328
Be 0.329 0.000 0.660
Be 0.000 0.500 0.000
Be 0.671 0.000 0.340
Be 0.336 0.500 0.672
Nb 0.000 0.000 0.000
Co 0.826 0.737 0.652
Co 0.826 0.263 0.652
Co 0.500 0.274 0.000
Co 0.500 0.726 0.000
Co 0.174 0.737 0.348
Co 0.174 0.263 0.348
CELL_PARAMETERS angstrom
3.723 0.002 -0.778
-0.002 5.456 -0.001
-0.711 0.000 5.942